Record 1
LaNdSm2Ho4, relaxed, DFT PBE; calculated formation energy = 18 meV per atom; space group = P-1
1.0
0.268 -10.252 -0.596
9.438 0.452 -3.408
-7.829 4.441 8.500
La Ho Sm Nd
2 8 4 2
Direct
0.000 0.000 0.000
0.500 0.500 0.500
0.750 0.254 0.001
0.749 0.245 0.497
0.251 0.251 0.999
0.749 0.749 0.001
0.749 0.750 0.497
0.251 0.755 0.503
0.251 0.746 0.999
0.251 0.250 0.503
0.500 0.000 0.500
0.500 0.500 0.000
0.000 0.000 0.500
0.500 0.000 0.000
0.000 0.500 0.500
0.000 0.500 0.000

---

Record 2
Ga5Sn3F12, relaxed, DFT PBE; total DFT energy (no corrections) = -4.26 eV/atom; space group = Ia-3d
1.0
12.300 0.000 0.000
-4.100 11.596 0.000
-4.100 -5.798 10.043
Ga F Sn
20 48 12
Direct
0.000 0.500 0.500
0.375 0.250 0.125
0.000 0.000 0.000
0.750 0.625 0.375
0.250 0.375 0.625
0.125 0.750 0.375
0.750 0.125 0.875
0.000 0.500 0.000
0.500 0.500 0.500
0.000 0.000 0.500
0.875 0.250 0.625
0.500 0.000 0.500
0.250 0.875 0.125
0.625 0.875 0.250
0.625 0.750 0.875
0.125 0.375 0.250
0.875 0.625 0.750
0.500 0.000 0.000
0.375 0.125 0.750
0.500 0.500 0.000
0.630 0.054 0.224
0.924 0.095 0.870
0.595 0.870 0.424
0.554 0.329 0.924
0.329 0.554 0.424
0.870 0.276 0.446
0.671 0.224 0.595
0.724 0.130 0.054
0.405 0.130 0.576
0.576 0.630 0.405
0.630 0.576 0.905
0.130 0.724 0.554
0.924 0.829 0.554
0.370 0.424 0.095
0.776 0.329 0.905
0.446 0.671 0.076
0.171 0.076 0.946
0.424 0.054 0.329
0.776 0.446 0.370
0.054 0.424 0.829
0.370 0.946 0.776
0.671 0.446 0.576
0.130 0.405 0.076
0.076 0.171 0.446
0.946 0.576 0.171
0.870 0.595 0.924
0.054 0.630 0.724
0.405 0.276 0.329
0.946 0.370 0.276
0.076 0.905 0.130
0.095 0.924 0.370
0.424 0.370 0.595
0.554 0.224 0.130
0.829 0.905 0.276
0.724 0.595 0.171
0.905 0.829 0.776
0.276 0.405 0.829
0.595 0.724 0.671
0.576 0.946 0.671
0.329 0.776 0.405
0.829 0.924 0.054
0.095 0.171 0.224
0.224 0.671 0.095
0.276 0.870 0.946
0.171 0.095 0.724
0.224 0.554 0.630
0.905 0.076 0.630
0.446 0.776 0.870
0.625 0.250 0.375
0.750 0.375 0.125
0.375 0.750 0.625
0.875 0.750 0.125
0.125 0.875 0.750
0.625 0.375 0.750
0.875 0.125 0.250
0.125 0.250 0.875
0.375 0.625 0.250
0.250 0.125 0.375
0.250 0.625 0.875
0.750 0.875 0.625

---

Record 3
AlOsBr, relaxed, DFT PBE; ΔE to the lowest computed polymorph = 0.000 eV/atom; space group = P3m1
1.0
3.074 0.000 0.000
-1.537 2.662 0.000
0.000 0.000 7.093
Al Br Os
1 1 1
Direct
0.000 0.000 0.995
0.667 0.333 0.256
0.333 0.667 0.748

---

Record 4
CsCd4Ag, relaxed, DFT PBE; calculated formation energy = -28 meV per atom; ΔE to the lowest computed polymorph = 0.000 eV/atom; space group = P2_1
1.0
-5.423 -1.889 0.949
0.984 -6.395 -7.106
-0.415 -5.522 4.911
Ag Cd Cs
2 8 2
Direct
0.455 0.829 0.098
0.545 0.329 0.902
0.332 0.052 0.840
0.964 0.832 0.093
0.525 0.947 0.435
0.240 0.572 0.039
0.036 0.332 0.907
0.760 0.072 0.961
0.475 0.447 0.565
0.668 0.552 0.160
0.056 0.203 0.394
0.944 0.703 0.606